Entry 1:
Compound: Mg5SnBi
Source: the Alexandria database
Functional: PBE
Structure: relaxed

Summary:
Density of states at the Fermi level in states/eV/f.u.: 2.5
Raw total energy in eV per atom: -2.31
Total moment in μB per atom: 0.00

a b c (Å): 6.187 6.187 9.783
angles (deg): 96.51 96.51 87.48
Atoms (fractional coordinates):
1 Mg 0.026 0.348 0.774
2 Mg 0.194 0.806 0.750
3 Mg 0.238 0.439 0.488
4 Mg 0.348 0.026 0.274
5 Mg 0.439 0.238 0.988
6 Mg 0.561 0.762 0.012
7 Mg 0.652 0.974 0.726
8 Mg 0.762 0.561 0.512
9 Mg 0.806 0.194 0.250
10 Mg 0.974 0.652 0.226
11 Sn 0.463 0.537 0.250
12 Sn 0.537 0.463 0.750
13 Bi 0.000 0.000 0.000
14 Bi 0.000 0.000 0.500

---

Entry 2:
Compound: KBa2MnOs
Source: the Alexandria database
Functional: PBE
Structure: relaxed

Summary:
Density of states at the Fermi level in states/eV/f.u.: 5.7
Raw total energy in eV per atom: -3.31
Total moment in μB per atom: 0.85

a b c (Å): 6.178 6.178 4.851
angles (deg): 90.00 90.00 90.00
Atoms (fractional coordinates):
1 K 0.000 0.000 0.000
2 Ba 0.000 0.500 0.000
3 Ba 0.500 0.000 0.000
4 Mn 0.500 0.500 0.500
5 Os 0.000 0.000 0.500